# 1
Computed, not measured: a relaxed structure of YTc2Ni at the PBE-GGA level of DFT.

Properties
D(E_F) in states/eV/f.u.: 4.61
Volume in Å³/atom: 16.414
Magnetic moment in μB per formula unit: 0.00
Energy in eV/atom: -7.841

Cell and atoms, written as CIF:
```
data_YTc2Ni
_chemical_formula_sum 'Y3 Tc6 Ni3'
_cell_length_a 2.8864
_cell_length_b 2.8864
_cell_length_c 27.3000
_cell_angle_alpha 90.00
_cell_angle_beta 90.00
_cell_angle_gamma 120.00
_space_group_name_H-M_alt 'R 3 m'
_space_group_IT_number 160
_space_group_name_Hall 'R 3 -2"'
loop_
_atom_site_label
_atom_site_type_symbol
_atom_site_fract_x
_atom_site_fract_y
_atom_site_fract_z
Y1 Y 0.0000 0.0000 0.0000
Tc1 Tc 0.0000 0.0000 0.5054
Tc2 Tc 0.0000 0.0000 0.7640
Ni1 Ni 0.0000 0.0000 0.2468
```

# 2
Computed, not measured: a relaxed structure of YTc2Ni at the PBE-GGA level of DFT.

Properties
D(E_F) in states/eV/f.u.: 6.35
Volume in Å³/atom: 16.702
Magnetic moment in μB per formula unit: 0.51
Energy in eV/atom: -7.945

Cell and atoms, written as CIF:
```
data_YTc2Ni
_chemical_formula_sum 'Y2 Tc4 Ni2'
_cell_length_a 3.8123
_cell_length_b 3.8123
_cell_length_c 9.1933
_cell_angle_alpha 90.00
_cell_angle_beta 90.00
_cell_angle_gamma 90.00
_space_group_name_H-M_alt 'I 4/m m m'
_space_group_IT_number 139
_space_group_name_Hall '-I 4 2'
loop_
_atom_site_label
_atom_site_type_symbol
_atom_site_fract_x
_atom_site_fract_y
_atom_site_fract_z
Y1 Y 0.0000 0.0000 0.0000
Tc1 Tc 0.0000 0.5000 0.2500
Ni1 Ni 0.0000 0.0000 0.5000
```

# 3
Computed, not measured: a relaxed structure of YTcNi2 at the PBE-GGA level of DFT.

Properties
D(E_F) in states/eV/f.u.: 6.71
Volume in Å³/atom: 15.757
Magnetic moment in μB per formula unit: 0.00
Energy in eV/atom: -6.617

Cell and atoms, written as CIF:
```
data_YTcNi2
_chemical_formula_sum 'Y3 Tc3 Ni6'
_cell_length_a 2.8835
_cell_length_b 2.8835
_cell_length_c 26.2588
_cell_angle_alpha 90.00
_cell_angle_beta 90.00
_cell_angle_gamma 120.00
_space_group_name_H-M_alt 'R -3 m'
_space_group_IT_number 166
_space_group_name_Hall '-R 3 2"'
loop_
_atom_site_label
_atom_site_type_symbol
_atom_site_fract_x
_atom_site_fract_y
_atom_site_fract_z
Y1 Y 0.0000 0.0000 0.0000
Tc1 Tc 0.0000 0.0000 0.5000
Ni1 Ni 0.0000 0.0000 0.2411
```

# 4
Computed, not measured: a relaxed structure of YTcNi2 at the PBE-GGA level of DFT.

Properties
D(E_F) in states/eV/f.u.: 4.30
Volume in Å³/atom: 17.527
Magnetic moment in μB per formula unit: 1.25
Energy in eV/atom: -7.224

Cell and atoms, written as CIF:
```
data_YTcNi2
_chemical_formula_sum 'Y3 Tc3 Ni6'
_cell_length_a 4.1533
_cell_length_b 4.1533
_cell_length_c 14.0802
_cell_angle_alpha 90.00
_cell_angle_beta 90.00
_cell_angle_gamma 120.00
_space_group_name_H-M_alt 'R -3 m'
_space_group_IT_number 166
_space_group_name_Hall '-R 3 2"'
loop_
_atom_site_label
_atom_site_type_symbol
_atom_site_fract_x
_atom_site_fract_y
_atom_site_fract_z
Y1 Y 0.0000 0.0000 0.0000
Tc1 Tc 0.0000 0.0000 0.5000
Ni1 Ni 0.0000 0.0000 0.1987
```